Version a
! PtC3S (PBE, relaxed); values from VASP
&SYSTEM
  ibrav = 0, nat = 5, ntyp = 3
/
ATOMIC_SPECIES
Pt 195.08 Pt.upf
C 12.01 C.upf
S 32.06 S.upf
ATOMIC_POSITIONS crystal
Pt 0.000 0.000 0.000
C 0.000 0.000 0.500
C 0.000 0.500 0.000
C 0.500 0.000 0.000
S 0.500 0.500 0.500
CELL_PARAMETERS angstrom
4.027 0.000 0.000
0.000 4.027 0.000
0.000 0.000 4.027
! D(E_F): 0.591 states/eV/atom



Version b
! PtC3S (PBE, relaxed); values from VASP
&SYSTEM
  ibrav = 0, nat = 5, ntyp = 3
/
ATOMIC_SPECIES
Pt 195.08 Pt.upf
C 12.01 C.upf
S 32.06 S.upf
ATOMIC_POSITIONS crystal
Pt 0.000 0.000 0.000
C 0.000 0.500 0.500
C 0.500 0.000 0.500
C 0.500 0.500 0.000
S 0.500 0.500 0.500
CELL_PARAMETERS angstrom
3.624 0.000 0.000
0.000 3.624 0.000
0.000 0.000 3.624
! D(E_F): 0.406 states/eV/atom



Most stable: version b (next structure +181 meV/atom)



Version a
! SbPt2C2 (PBE, relaxed); values from VASP
&SYSTEM
  ibrav = 0, nat = 10, ntyp = 3
/
ATOMIC_SPECIES
Sb 121.76 Sb.upf
Pt 195.08 Pt.upf
C 12.01 C.upf
ATOMIC_POSITIONS crystal
Sb 0.000 0.000 0.000
Sb 0.500 0.500 0.000
Pt 0.173 0.327 0.500
Pt 0.327 0.827 0.500
Pt 0.673 0.173 0.500
Pt 0.827 0.673 0.500
C 0.069 0.569 0.000
C 0.431 0.069 0.000
C 0.569 0.931 0.000
C 0.931 0.431 0.000
CELL_PARAMETERS angstrom
6.943 0.000 0.000
0.000 6.943 0.000
0.000 0.000 3.088
! D(E_F): 0.756 states/eV/atom



Version b
! SbPt2C2 (PBE, relaxed); values from VASP
&SYSTEM
  ibrav = 0, nat = 10, ntyp = 3
/
ATOMIC_SPECIES
Sb 121.76 Sb.upf
Pt 195.08 Pt.upf
C 12.01 C.upf
ATOMIC_POSITIONS crystal
Sb 0.000 0.000 0.000
Sb 0.500 0.500 0.500
Pt 0.000 0.500 0.250
Pt 0.000 0.500 0.750
Pt 0.500 0.000 0.250
Pt 0.500 0.000 0.750
C 0.000 0.000 0.418
C 0.000 0.000 0.582
C 0.500 0.500 0.082
C 0.500 0.500 0.918
CELL_PARAMETERS angstrom
4.072 0.000 0.000
0.000 4.072 0.000
0.000 0.000 8.305
! D(E_F): 0.539 states/eV/atom



Most stable: version b (next structure +357 meV/atom)



Version a
! Sb2TePtC (PBE, relaxed); values from VASP
&SYSTEM
  ibrav = 0, nat = 5, ntyp = 4
/
ATOMIC_SPECIES
Sb 121.76 Sb.upf
Te 127.60 Te.upf
Pt 195.08 Pt.upf
C 12.01 C.upf
ATOMIC_POSITIONS crystal
Sb 0.000 0.500 0.000
Sb 0.500 0.000 0.000
Te 0.000 0.000 0.500
Pt 0.000 0.000 0.000
C 0.500 0.500 0.500
CELL_PARAMETERS angstrom
5.189 0.000 0.000
0.000 5.189 0.000
0.000 0.000 5.505
! D(E_F): 0.916 states/eV/atom



Version b
! Sb2TePtC (PBE, relaxed); values from VASP
&SYSTEM
  ibrav = 0, nat = 5, ntyp = 4
/
ATOMIC_SPECIES
Sb 121.76 Sb.upf
Te 127.60 Te.upf
Pt 195.08 Pt.upf
C 12.01 C.upf
ATOMIC_POSITIONS crystal
Sb 0.000 0.500 0.000
Sb 0.500 0.000 0.000
Te 0.000 0.000 0.500
Pt 0.500 0.500 0.500
C 0.000 0.000 0.000
CELL_PARAMETERS angstrom
4.643 0.000 0.000
0.000 4.643 0.000
0.000 0.000 4.724
! D(E_F): 0.461 states/eV/atom



Most stable: version b (next structure +711 meV/atom)



Version a
! ScPtC3 (PBE, relaxed); values from VASP
&SYSTEM
  ibrav = 0, nat = 5, ntyp = 3
/
ATOMIC_SPECIES
Sc 44.96 Sc.upf
Pt 195.08 Pt.upf
C 12.01 C.upf
ATOMIC_POSITIONS crystal
Sc 0.000 0.000 0.000
Pt 0.500 0.500 0.500
C 0.000 0.500 0.500
C 0.500 0.000 0.500
C 0.500 0.500 0.000
CELL_PARAMETERS angstrom
4.021 0.000 0.000
0.000 4.021 0.000
0.000 0.000 4.021
! D(E_F): 0.843 states/eV/atom



Version b
! ScPtC3 (PBE, relaxed); values from VASP
&SYSTEM
  ibrav = 0, nat = 5, ntyp = 3
/
ATOMIC_SPECIES
Sc 44.96 Sc.upf
Pt 195.08 Pt.upf
C 12.01 C.upf
ATOMIC_POSITIONS crystal
Sc 0.000 0.000 0.000
Pt 0.500 0.500 0.500
C 0.000 0.000 0.500
C 0.000 0.500 0.000
C 0.500 0.000 0.000
CELL_PARAMETERS angstrom
4.132 0.000 0.000
0.000 4.132 0.000
0.000 0.000 4.132
! D(E_F): 0.507 states/eV/atom



Most stable: version a (next structure +840 meV/atom)



Version a
! ScPt3C (PBE, relaxed); values from VASP
&SYSTEM
  ibrav = 0, nat = 5, ntyp = 3
/
ATOMIC_SPECIES
Sc 44.96 Sc.upf
Pt 195.08 Pt.upf
C 12.01 C.upf
ATOMIC_POSITIONS crystal
Sc 0.000 0.000 0.000
Pt 0.000 0.500 0.500
Pt 0.500 0.000 0.500
Pt 0.500 0.500 0.000
C 0.500 0.500 0.500
CELL_PARAMETERS angstrom
4.245 0.000 0.000
0.000 4.245 0.000
0.000 0.000 4.245
! D(E_F): 1.052 states/eV/atom



Version b
! ScPt3C (PBE, relaxed); values from VASP
&SYSTEM
  ibrav = 0, nat = 5, ntyp = 3
/
ATOMIC_SPECIES
Sc 44.96 Sc.upf
Pt 195.08 Pt.upf
C 12.01 C.upf
ATOMIC_POSITIONS crystal
Sc 0.000 0.000 0.000
Pt 0.000 0.000 0.500
Pt 0.000 0.500 0.000
Pt 0.500 0.000 0.000
C 0.500 0.500 0.500
CELL_PARAMETERS angstrom
4.796 0.000 0.000
0.000 4.796 0.000
0.000 0.000 4.796
! D(E_F): 0.759 states/eV/atom



Most stable: version a (next structure +2232 meV/atom)



Version a
! Sc2PtC2 (PBE, relaxed); values from VASP
&SYSTEM
  ibrav = 0, nat = 10, ntyp = 3
/
ATOMIC_SPECIES
Sc 44.96 Sc.upf
Pt 195.08 Pt.upf
C 12.01 C.upf
ATOMIC_POSITIONS crystal
Sc 0.000 0.000 0.134
Sc 0.000 0.000 0.866
Sc 0.500 0.500 0.366
Sc 0.500 0.500 0.634
Pt 0.000 0.000 0.500
Pt 0.500 0.500 0.000
C 0.000 0.500 0.250
C 0.000 0.500 0.750
C 0.500 0.000 0.250
C 0.500 0.000 0.750
CELL_PARAMETERS angstrom
3.147 0.000 0.000
0.000 3.147 0.000
0.000 0.000 14.022
! D(E_F): 0.326 states/eV/atom



Version b
! Sc2PtC2 (PBE, relaxed); values from VASP
&SYSTEM
  ibrav = 0, nat = 10, ntyp = 3
/
ATOMIC_SPECIES
Sc 44.96 Sc.upf
Pt 195.08 Pt.upf
C 12.01 C.upf
ATOMIC_POSITIONS crystal
Sc 0.146 0.354 0.000
Sc 0.354 0.854 0.000
Sc 0.646 0.146 0.000
Sc 0.854 0.646 0.000
Pt 0.000 0.000 0.000
Pt 0.500 0.500 0.000
C 0.170 0.670 0.500
C 0.330 0.170 0.500
C 0.670 0.830 0.500
C 0.830 0.330 0.500
CELL_PARAMETERS angstrom
6.881 0.000 0.000
0.000 6.881 0.000
0.000 0.000 2.857
! D(E_F): 0.412 states/eV/atom



Most stable: version a (next structure +300 meV/atom)



Version a
! Sc2ZnPtC (PBE, relaxed); values from VASP
&SYSTEM
  ibrav = 0, nat = 5, ntyp = 4
/
ATOMIC_SPECIES
Sc 44.96 Sc.upf
Zn 65.41 Zn.upf
Pt 195.08 Pt.upf
C 12.01 C.upf
ATOMIC_POSITIONS crystal
Sc 0.000 0.500 0.000
Sc 0.500 0.000 0.000
Zn 0.000 0.000 0.500
Pt 0.500 0.500 0.500
C 0.500 0.500 0.000
CELL_PARAMETERS angstrom
4.502 0.000 0.000
0.000 4.502 0.000
0.000 0.000 4.041
! D(E_F): 0.675 states/eV/atom



Version b
! Sc2ZnPtC (PBE, relaxed); values from VASP
&SYSTEM
  ibrav = 0, nat = 5, ntyp = 4
/
ATOMIC_SPECIES
Sc 44.96 Sc.upf
Zn 65.41 Zn.upf
Pt 195.08 Pt.upf
C 12.01 C.upf
ATOMIC_POSITIONS crystal
Sc 0.000 0.500 0.000
Sc 0.500 0.000 0.000
Zn 0.000 0.000 0.500
Pt 0.500 0.500 0.500
C 0.000 0.000 0.000
CELL_PARAMETERS angstrom
4.526 0.000 0.000
0.000 4.526 0.000
0.000 0.000 3.888
! D(E_F): 0.825 states/eV/atom



Most stable: version b (next structure +43 meV/atom)



Version a
! Pt2CSe (PBE, relaxed); values from VASP
&SYSTEM
  ibrav = 0, nat = 16, ntyp = 3
/
ATOMIC_SPECIES
Pt 195.08 Pt.upf
C 12.01 C.upf
Se 78.96 Se.upf
ATOMIC_POSITIONS crystal
Pt 0.155 0.250 0.125
Pt 0.250 0.655 0.375
Pt 0.250 0.845 0.875
Pt 0.345 0.250 0.625
Pt 0.655 0.750 0.625
Pt 0.750 0.155 0.875
Pt 0.750 0.345 0.375
Pt 0.845 0.750 0.125
C 0.000 0.000 0.000
C 0.000 0.500 0.250
C 0.500 0.000 0.750
C 0.500 0.500 0.500
Se 0.000 0.000 0.500
Se 0.000 0.500 0.750
Se 0.500 0.000 0.250
Se 0.500 0.500 0.000
CELL_PARAMETERS angstrom
4.898 0.000 0.000
0.000 4.898 0.000
0.000 0.000 11.522
! D(E_F): 0.295 states/eV/atom



Version b
! Pt2CSe (PBE, relaxed); values from VASP
&SYSTEM
  ibrav = 0, nat = 16, ntyp = 3
/
ATOMIC_SPECIES
Pt 195.08 Pt.upf
C 12.01 C.upf
Se 78.96 Se.upf
ATOMIC_POSITIONS crystal
Pt 0.250 0.250 0.250
Pt 0.250 0.250 0.750
Pt 0.250 0.750 0.250
Pt 0.250 0.750 0.750
Pt 0.750 0.250 0.250
Pt 0.750 0.250 0.750
Pt 0.750 0.750 0.250
Pt 0.750 0.750 0.750
C 0.000 0.000 0.000
C 0.000 0.500 0.500
C 0.500 0.000 0.500
C 0.500 0.500 0.000
Se 0.000 0.000 0.500
Se 0.000 0.500 0.000
Se 0.500 0.000 0.000
Se 0.500 0.500 0.500
CELL_PARAMETERS angstrom
6.130 0.000 0.000
0.000 6.130 0.000
0.000 0.000 6.130
! D(E_F): 0.615 states/eV/atom



Most stable: version a (next structure +841 meV/atom)